[1]
Below is an optimized crystal structure of CaCe2Si, with properties calculated at the PBE level.

Properties
ΔE to the lowest computed polymorph	250	meV per atom
uncorrected formation energy	0.029	eV/atom
crystal system	trigonal

Cell lengths 11.1129, 11.1129, 11.1129 Å; angles 19.67, 19.67, 19.67 degrees
Atoms (fractional coordinates):
Ca 0.0000 0.0000 0.0000
Ce 0.1115 0.1115 0.1115
Ce 0.8885 0.8885 0.8885
Si 0.5000 0.5000 0.5000

***

[2]
Below is an optimized crystal structure of CaCeSi, with properties calculated at the PBE level.

Properties
uncorrected formation energy	-0.278	eV/atom
crystal system	triclinic

Cell lengths 4.0438, 5.4722, 7.8538 Å; angles 71.18, 89.95, 68.37 degrees
Atoms (fractional coordinates):
Ca 0.1558 0.1901 0.0894
Ca 0.8442 0.8099 0.9106
Ce 0.1380 0.2239 0.5632
Ce 0.8620 0.7761 0.4368
Si 0.4979 0.5032 0.7381
Si 0.5021 0.4968 0.2619

***

[3]
Below is an optimized crystal structure of CaCeSi, with properties calculated at the PBE level.

Properties
uncorrected formation energy	-0.275	eV/atom
crystal system	cubic

Cell lengths 5.0059, 5.0059, 5.0059 Å; angles 60.00, 60.00, 60.00 degrees
Atoms (fractional coordinates):
Ca 0.0000 0.0000 0.0000
Ce 0.5000 0.5000 0.5000
Si 0.2500 0.2500 0.2500

***

[4]
Below is an optimized crystal structure of CaCeSi4, with properties calculated at the PBE level.

Properties
ΔE to the lowest computed polymorph	0	meV per atom
uncorrected formation energy	-0.501	eV/atom
crystal system	tetragonal

Cell lengths 7.4053, 7.4053, 7.4053 Å; angles 146.72, 146.72, 47.78 degrees
Atoms (fractional coordinates):
Ca 0.0000 0.0000 0.0000
Ce 0.7500 0.2500 0.5000
Si 0.1660 0.6660 0.5000
Si 0.3340 0.8340 0.5000
Si 0.4133 0.4133 0.0000
Si 0.5867 0.5867 0.0000

***

[5]
Below is an optimized crystal structure of CaCeSi, with properties calculated at the PBE level.

Properties
uncorrected formation energy	-0.426	eV/atom
crystal system	tetragonal

Cell lengths 4.3418, 4.3418, 8.2858 Å; angles 90.00, 90.00, 90.00 degrees
Atoms (fractional coordinates):
Ca 0.2500 0.2500 0.1371
Ca 0.7500 0.7500 0.8629
Ce 0.2500 0.7500 0.5000
Ce 0.7500 0.2500 0.5000
Si 0.2500 0.2500 0.7591
Si 0.7500 0.7500 0.2409

***

[6]
Below is an optimized crystal structure of CaCeSi2, with properties calculated at the PBE level.

Properties
uncorrected formation energy	-0.572	eV/atom
crystal system	orthorhombic

Cell lengths 3.8959, 5.8419, 5.8419 Å; angles 44.86, 90.00, 90.00 degrees
Atoms (fractional coordinates):
Ca 0.0000 0.0000 0.0000
Ce 0.5000 0.7190 0.7190
Si 0.0000 0.2870 0.2870
Si 0.5000 0.4282 0.4282

***

[7]
Below is an optimized crystal structure of CaCe2Zn2Si2, with properties calculated at the PBE level.

Properties
uncorrected formation energy	-0.330	eV/atom
crystal system	trigonal

Cell lengths 9.7407, 9.7407, 9.7407 Å; angles 25.17, 25.17, 25.17 degrees
Atoms (fractional coordinates):
Ca 0.0000 0.0000 0.0000
Ce 0.1411 0.1411 0.1411
Ce 0.8589 0.8589 0.8589
Zn 0.4054 0.4054 0.4054
Zn 0.5946 0.5946 0.5946
Si 0.2596 0.2596 0.2596
Si 0.7404 0.7404 0.7404

***

[8]
Below is an optimized crystal structure of CaCe4Sm, with properties calculated at the PBE level.

Properties
formation energy	0.250	eV/atom
crystal system	cubic

Cell lengths 6.4632, 6.4632, 6.4632 Å; angles 60.00, 60.00, 60.00 degrees
Atoms (fractional coordinates):
Ca 0.0000 0.0000 0.0000
Ce 0.1462 0.6179 0.6179
Ce 0.6179 0.1462 0.6179
Ce 0.6179 0.6179 0.1462
Ce 0.6179 0.6179 0.6179
Sm 0.2500 0.2500 0.2500